(1)
GGA-PBE PuIn2Au, relaxed; E_tot = -23.42 eV for the cell shown; space group = R3m, No. 160
1.0
1.699 0.981 9.699
-1.699 0.981 9.699
0.000 -1.962 9.699
Pu In Au
1 2 1
Direct
0.000 0.000 0.000 Pu
0.240 0.240 0.240 In
0.427 0.427 0.427 In
0.834 0.834 0.834 Au

(2)
GGA-PBE RbPrZnCl6, relaxed; raw formation energy = -1.811 eV/atom; E_tot = -68.80 eV for the cell shown; space group = P-31c, No. 163
1.0
6.929 0.000 0.000
-3.465 6.001 0.000
0.000 0.000 14.476
Rb Pr Zn Cl
2 2 2 12
Direct
0.000 0.000 0.000 Rb
0.000 0.000 0.500 Rb
0.333 0.667 0.250 Pr
0.667 0.333 0.750 Pr
0.333 0.667 0.750 Zn
0.667 0.333 0.250 Zn
0.029 0.389 0.647 Cl
0.029 0.640 0.853 Cl
0.360 0.389 0.853 Cl
0.360 0.971 0.647 Cl
0.389 0.029 0.147 Cl
0.389 0.360 0.353 Cl
0.611 0.640 0.647 Cl
0.611 0.971 0.853 Cl
0.640 0.029 0.353 Cl
0.640 0.611 0.147 Cl
0.971 0.360 0.147 Cl
0.971 0.611 0.353 Cl

(3)
GGA-PBE CaSi3Ir, relaxed; raw formation energy = 2.145 eV/atom; E_tot = -16.41 eV for the cell shown; space group = Pm-3m, No. 221
1.0
4.885 0.000 0.000
0.000 4.885 0.000
0.000 0.000 4.885
Ca Si Ir
1 3 1
Direct
0.000 0.000 0.000 Ca
0.000 0.000 0.500 Si
0.000 0.500 0.000 Si
0.500 0.000 0.000 Si
0.500 0.500 0.500 Ir

(4)
GGA-PBE AcTb6HoTm2, relaxed; E_tot = -88.24 eV for the cell shown; space group = C2/c, No. 15
1.0
4.624 -7.579 0.000
4.624 7.579 0.000
-0.810 0.000 9.469
Ac Tb Ho Tm
2 12 2 4
Direct
0.031 0.969 0.750 Ac
0.969 0.031 0.250 Ac
0.011 0.552 0.680 Tb
0.126 0.752 0.056 Tb
0.248 0.874 0.444 Tb
0.289 0.512 0.884 Tb
0.448 0.989 0.820 Tb
0.488 0.711 0.616 Tb
0.512 0.289 0.384 Tb
0.552 0.011 0.180 Tb
0.711 0.488 0.116 Tb
0.752 0.126 0.556 Tb
0.874 0.248 0.944 Tb
0.989 0.448 0.320 Tb
0.412 0.588 0.250 Ho
0.588 0.412 0.750 Ho
0.205 0.316 0.549 Tm
0.316 0.205 0.049 Tm
0.684 0.795 0.951 Tm
0.795 0.684 0.451 Tm

(5)
GGA-PBE BaTcTe3, relaxed; raw formation energy = -0.392 eV/atom; E_tot = -23.68 eV for the cell shown; E above lowest polymorph = 0 meV/atom; space group = Pm-3m, No. 221
1.0
5.458 0.000 0.000
0.000 5.458 0.000
0.000 0.000 5.458
Ba Tc Te
1 1 3
Direct
0.000 0.000 0.000 Ba
0.500 0.500 0.500 Tc
0.000 0.500 0.500 Te
0.500 0.000 0.500 Te
0.500 0.500 0.000 Te

(6)
GGA-PBE Mn2AlS, relaxed; raw formation energy = 0.180 eV/atom; E_tot = -25.49 eV for the cell shown; E above lowest polymorph = 60 meV/atom; space group = Fm-3m, No. 225
1.0
0.000 2.843 2.843
2.843 0.000 2.843
2.843 2.843 0.000
Mn Al S
2 1 1
Direct
0.250 0.250 0.250 Mn
0.750 0.750 0.750 Mn
0.000 0.000 0.000 Al
0.500 0.500 0.500 S

(7)
GGA-PBE La5PmErTm2, relaxed; E_tot = -83.46 eV for the cell shown; space group = Cmc2_1, No. 36
1.0
2.746 -10.802 0.000
2.746 10.802 0.000
0.000 0.000 10.702
La Pm Er Tm
10 2 2 4
Direct
0.000 0.000 0.000 La
0.000 0.000 0.500 La
0.123 0.877 0.750 La
0.220 0.780 0.060 La
0.220 0.780 0.441 La
0.499 0.501 0.750 La
0.501 0.499 0.250 La
0.780 0.220 0.560 La
0.780 0.220 0.941 La
0.877 0.123 0.250 La
0.287 0.713 0.750 Pm
0.713 0.287 0.250 Pm
0.100 0.900 0.250 Er
0.900 0.100 0.750 Er
0.387 0.613 0.502 Tm
0.388 0.612 0.998 Tm
0.612 0.388 0.498 Tm
0.613 0.387 0.002 Tm

(8)
GGA-PBE ZnOs2Se, relaxed; raw formation energy = 0.647 eV/atom; E_tot = -24.63 eV for the cell shown; E above lowest polymorph = 329 meV/atom; space group = P2/m, No. 10
1.0
2.844 0.000 0.000
0.000 4.308 0.000
-1.041 0.000 5.174
Zn Os Se
1 2 1
Direct
0.000 0.000 0.000 Zn
0.360 0.500 0.218 Os
0.640 0.500 0.782 Os
0.500 0.000 0.500 Se

(9)
GGA-PBE HfIn2Se, relaxed; raw formation energy = 0.096 eV/atom; E_tot = -37.06 eV for the cell shown; space group = I-42d, No. 122
1.0
-4.122 4.122 2.865
4.122 -4.122 2.865
4.122 4.122 -2.865
Hf In Se
2 4 2
Direct
0.000 0.000 0.000 Hf
0.750 0.250 0.500 Hf
0.128 0.625 0.003 In
0.375 0.378 0.503 In
0.622 0.125 0.997 In
0.875 0.872 0.497 In
0.250 0.750 0.500 Se
0.500 0.500 0.000 Se

(10)
GGA-PBE LaAsIN2, relaxed; raw formation energy = 0.893 eV/atom; E_tot = -23.31 eV for the cell shown; E above lowest polymorph = 166 meV/atom; space group = P4/mmm, No. 123
1.0
4.354 0.000 0.000
0.000 4.354 0.000
0.000 0.000 6.980
La As I N
1 1 1 2
Direct
0.000 0.000 0.000 La
0.500 0.500 0.500 As
0.000 0.000 0.500 I
0.000 0.500 0.000 N
0.500 0.000 0.000 N

(11)
GGA-PBE LiDyTmZn, relaxed; E_tot = -12.72 eV for the cell shown; space group = F-43m, No. 216
1.0
0.000 3.583 3.583
3.583 0.000 3.583
3.583 3.583 0.000
Li Dy Tm Zn
1 1 1 1
Direct
0.000 0.000 0.000 Li
0.250 0.250 0.250 Dy
0.750 0.750 0.750 Tm
0.500 0.500 0.500 Zn

(12)
GGA-PBE HIrS3, relaxed; E_tot = -19.27 eV for the cell shown; E above lowest polymorph = 0 meV/atom; space group = Pm-3m, No. 221
1.0
4.674 0.000 0.000
0.000 4.674 0.000
0.000 0.000 4.674
H Ir S
1 1 3
Direct
0.000 0.000 0.000 H
0.500 0.500 0.500 Ir
0.000 0.500 0.500 S
0.500 0.000 0.500 S
0.500 0.500 0.000 S

(13)
GGA-PBE BeCr2Au, relaxed; E_tot = -25.53 eV for the cell shown; E above lowest polymorph = 118 meV/atom; space group = Cm, No. 8
1.0
4.223 -1.524 0.000
4.223 1.524 0.000
-1.590 0.000 4.133
Be Cr Au
1 2 1
Direct
0.000 0.000 0.000 Be
0.257 0.257 0.659 Cr
0.512 0.512 0.496 Cr
0.734 0.734 0.136 Au

(14)
GGA-PBE ScFeSeN2, relaxed; raw formation energy = 0.117 eV/atom; E_tot = -34.34 eV for the cell shown; E above lowest polymorph = 0 meV/atom; space group = P4/mmm, No. 123
1.0
3.713 0.000 0.000
0.000 3.713 0.000
0.000 0.000 4.881
Sc Fe Se N
1 1 1 2
Direct
0.000 0.000 0.000 Sc
0.500 0.500 0.500 Fe
0.500 0.500 0.000 Se
0.000 0.500 0.500 N
0.500 0.000 0.500 N

(15)
GGA-PBE Tb3NdNi8, relaxed; E_tot = -69.73 eV for the cell shown; space group = R3m, No. 160
1.0
2.549 1.471 8.348
-2.549 1.471 8.348
0.000 -2.943 8.348
Tb Nd Ni
3 1 8
Direct
0.000 0.000 0.000 Tb
0.124 0.124 0.124 Tb
0.499 0.499 0.499 Tb
0.624 0.624 0.624 Nd
0.061 0.061 0.561 Ni
0.061 0.561 0.061 Ni
0.065 0.562 0.562 Ni
0.312 0.312 0.312 Ni
0.561 0.061 0.061 Ni
0.562 0.065 0.562 Ni
0.562 0.562 0.065 Ni
0.812 0.812 0.812 Ni

(16)
GGA-PBE NaAlGa3, relaxed; E_tot = -13.12 eV for the cell shown; E above lowest polymorph = 301 meV/atom; space group = Pm-3m, No. 221
1.0
5.043 0.000 0.000
0.000 5.043 0.000
0.000 0.000 5.043
Na Al Ga
1 1 3
Direct
0.000 0.000 0.000 Na
0.500 0.500 0.500 Al
0.000 0.500 0.500 Ga
0.500 0.000 0.500 Ga
0.500 0.500 0.000 Ga

(17)
GGA-PBE Hf3Cu2Pt4, relaxed; E_tot = -139.23 eV for the cell shown; space group = C2/c, No. 15
1.0
6.525 -4.800 0.000
6.525 4.800 0.000
-0.851 0.000 4.801
Hf Cu Pt
6 4 8
Direct
0.128 0.872 0.750 Hf
0.210 0.455 0.919 Hf
0.455 0.210 0.419 Hf
0.545 0.790 0.581 Hf
0.790 0.545 0.081 Hf
0.872 0.128 0.250 Hf
0.019 0.772 0.199 Cu
0.228 0.981 0.301 Cu
0.772 0.019 0.699 Cu
0.981 0.228 0.801 Cu
0.091 0.337 0.351 Pt
0.312 0.573 0.467 Pt
0.337 0.091 0.851 Pt
0.427 0.688 0.033 Pt
0.573 0.312 0.967 Pt
0.663 0.909 0.149 Pt
0.688 0.427 0.533 Pt
0.909 0.663 0.649 Pt

(18)
GGA-PBE AlCoSe2, relaxed; raw formation energy = -0.302 eV/atom; E_tot = -19.03 eV for the cell shown; space group = Cm, No. 8
1.0
4.113 -1.751 0.000
4.113 1.751 0.000
-2.344 0.000 6.462
Al Co Se
1 1 2
Direct
0.000 0.000 0.000 Al
0.279 0.279 0.001 Co
0.700 0.700 0.756 Se
0.842 0.842 0.246 Se

(19)
GGA-PBE CeEu2Ga, relaxed; E_tot = -29.92 eV for the cell shown; E above lowest polymorph = 0 meV/atom; space group = P4/mmm, No. 123
1.0
3.756 0.000 0.000
0.000 3.756 0.000
0.000 0.000 8.813
Ce Eu Ga
1 2 1
Direct
0.000 0.000 0.000 Ce
0.500 0.500 0.297 Eu
0.500 0.500 0.703 Eu
0.000 0.000 0.500 Ga

(20)
GGA-PBE Ca2PuTcN5, relaxed; raw formation energy = -0.731 eV/atom; E_tot = -153.82 eV for the cell shown; space group = Cmc2_1, No. 36
1.0
1.724 -6.739 0.000
1.724 6.739 0.000
0.000 0.000 10.738
Ca Pu Tc N
4 2 2 10
Direct
0.101 0.899 0.500 Ca
0.149 0.851 0.143 Ca
0.851 0.149 0.643 Ca
0.899 0.101 0.000 Ca
0.210 0.790 0.855 Pu
0.790 0.210 0.355 Pu
0.479 0.521 0.275 Tc
0.521 0.479 0.775 Tc
0.040 0.960 0.859 N
0.282 0.718 0.482 N
0.315 0.685 0.238 N
0.369 0.631 0.828 N
0.495 0.505 0.615 N
0.505 0.495 0.115 N
0.631 0.369 0.328 N
0.685 0.315 0.738 N
0.718 0.282 0.982 N
0.960 0.040 0.359 N

(21)
GGA-PBE Mg3Si2Pt3, relaxed; raw formation energy = -0.763 eV/atom; E_tot = -159.44 eV for the cell shown; space group = Pnma, No. 62
1.0
7.235 0.000 0.000
0.000 14.197 0.000
0.000 0.000 5.445
Mg Si Pt
12 8 12
Direct
0.012 0.111 0.128 Mg
0.012 0.389 0.128 Mg
0.167 0.250 0.578 Mg
0.333 0.750 0.078 Mg
0.488 0.611 0.628 Mg
0.488 0.889 0.628 Mg
0.512 0.111 0.372 Mg
0.512 0.389 0.372 Mg
0.667 0.250 0.922 Mg
0.833 0.750 0.422 Mg
0.988 0.611 0.872 Mg
0.988 0.889 0.872 Mg
0.137 0.609 0.388 Si
0.137 0.891 0.388 Si
0.363 0.109 0.888 Si
0.363 0.391 0.888 Si
0.637 0.609 0.112 Si
0.637 0.891 0.112 Si
0.863 0.109 0.612 Si
0.863 0.391 0.612 Si
0.167 0.045 0.593 Pt
0.167 0.455 0.593 Pt
0.200 0.750 0.595 Pt
0.300 0.250 0.095 Pt
0.333 0.545 0.093 Pt
0.333 0.955 0.093 Pt
0.667 0.045 0.907 Pt
0.667 0.455 0.907 Pt
0.700 0.750 0.905 Pt
0.800 0.250 0.405 Pt
0.833 0.545 0.407 Pt
0.833 0.955 0.407 Pt

(22)
GGA-PBE Ru4PtSe, relaxed; raw formation energy = 0.773 eV/atom; E_tot = -41.99 eV for the cell shown; space group = F-43m, No. 216
1.0
0.000 3.625 3.625
3.625 0.000 3.625
3.625 3.625 0.000
Ru Pt Se
4 1 1
Direct
0.124 0.124 0.124 Ru
0.124 0.124 0.627 Ru
0.124 0.627 0.124 Ru
0.627 0.124 0.124 Ru
0.750 0.750 0.750 Pt
0.500 0.500 0.500 Se

(23)
GGA-PBE Zn2HI, relaxed; E_tot = -4.75 eV for the cell shown; E above lowest polymorph = 515 meV/atom; space group = Fm-3m, No. 225
1.0
0.000 3.412 3.412
3.412 0.000 3.412
3.412 3.412 0.000
Zn H I
2 1 1
Direct
0.250 0.250 0.250 Zn
0.750 0.750 0.750 Zn
0.000 0.000 0.000 H
0.500 0.500 0.500 I